A geometry-optimized RbCo3H structure. Source: Alexandria, functional PBE-GGA.

The space group is Pm-3m (No. 221) and the conventional cell measures 4.052, 4.052 and 4.052 Å, with angles of 90.00, 90.00 and 90.00 degrees. The distinct sites, in fractional coordinates, are Rb at (0.000, 0.000, 0.000), Co at (0.000, 0.500, 0.500) and H at (0.500, 0.500, 0.500).

As for the total energy: -3.865 eV/atom. Its mass density is 6571 kg/m3. The total magnetic moment comes out at 0.832 μB per atom.